Record 1
Compound: ThTaNi2P2
Source: Alexandria via LeMat-Bulk
Functional: PBE
Structure: relaxed

SG ... No. 164
Calculated density ... 10.349 g/cm3
DFT formation energy ... -5.5 eV/f.u.
Density of states at the Fermi level ... 2.099 states/eV per cell

Unit cell a=3.819 b=3.819 c=7.524 alpha=90.00 beta=90.00 gamma=120.00
Fractional positions:
Ni1 0.667 0.333 0.290
Ni2 0.333 0.667 0.710
Ta1 0.000 0.000 0.500
P1 0.333 0.667 0.275
P2 0.667 0.333 0.725
Th1 0.000 0.000 0.000

---

Record 2
Compound: BaNiIr4
Source: Alexandria via LeMat-Bulk
Functional: PBE
Structure: relaxed

SG ... No. 216
Calculated density ... 14.399 g/cm3
DFT formation energy ... 3.1 eV/f.u.
Density of states at the Fermi level ... 12.035 states/eV per cell

Unit cell a=5.399 b=5.399 c=5.399 alpha=60.00 beta=60.00 gamma=60.00
Last column: magnetic moment on the atom in μB.
Fractional positions:
Ir1 0.376 0.376 0.872  0.48
Ir2 0.376 0.376 0.376  0.48
Ir3 0.872 0.376 0.376  0.48
Ir4 0.376 0.872 0.376  0.48
Ba1 0.000 0.000 0.000  -0.01
Ni1 0.750 0.750 0.750  1.04

---

Record 3
Compound: K2AgCl2F2
Source: Alexandria via LeMat-Bulk
Functional: PBE
Structure: relaxed

SG ... No. 139
Calculated density ... 3.052 g/cm3
Density of states at the Fermi level ... 3.676 states/eV per cell
Raw formation energy ... -1.703 eV/atom

Unit cell a=4.577 b=4.577 c=8.316 alpha=105.97 beta=105.97 gamma=90.00
Last column: magnetic moment on the atom in μB.
Fractional positions:
Cl1 0.837 0.837 0.675  0.05
Cl2 0.163 0.163 0.325  0.05
Ag1 0.000 0.000 0.000  0.18
K1 0.622 0.622 0.244  0.00
K2 0.378 0.378 0.756  0.00
F1 0.000 0.500 0.000  0.04
F2 0.500 0.000 0.000  0.04

---

Record 4
Compound: AsW3I
Source: Alexandria via LeMat-Bulk
Functional: PBE
Structure: relaxed

SG ... No. 221
Calculated density ... 11.963 g/cm3
Density of states at the Fermi level ... 6.077 states/eV per cell
Raw formation energy ... 1.929 eV/atom
Offset from the most stable computed form ... 0.000 eV/atom

Unit cell a=4.711 b=4.711 c=4.711 alpha=90.00 beta=90.00 gamma=90.00
Fractional positions:
As1 0.000 0.000 0.000
W1 0.000 0.500 0.000
W2 0.500 0.000 0.000
W3 0.000 0.000 0.500
I1 0.500 0.500 0.500

---

Record 5
Compound: TaAlPt2
Source: Alexandria via LeMat-Bulk
Functional: PBE
Structure: relaxed

SG ... No. 119
Calculated density ... 15.711 g/cm3
DFT formation energy ... -2.6 eV/f.u.
Density of states at the Fermi level ... 1.311 states/eV per cell

Unit cell a=4.853 b=4.853 c=4.851 alpha=131.23 beta=131.23 gamma=71.48
Fractional positions:
Ta1 0.500 0.500 0.000
Pt1 0.000 0.000 0.000
Pt2 0.750 0.250 0.500
Al1 0.250 0.750 0.500

---

Record 6
Compound: Zn2CuSe
Source: Alexandria via LeMat-Bulk
Functional: PBE
Structure: relaxed

SG ... No. 47
Calculated density ... 6.908 g/cm3
Density of states at the Fermi level ... 1.183 states/eV per cell
Raw formation energy ... 0.084 eV/atom

Unit cell a=2.695 b=3.558 c=6.851 alpha=90.00 beta=90.00 gamma=90.00
Fractional positions:
Zn1 0.000 0.000 0.045
Zn2 0.000 0.000 0.455
Cu1 0.500 0.500 0.250
Se1 0.500 0.500 0.750

---

Record 7
Compound: Nd12Mn5C15
Source: Alexandria via LeMat-Bulk
Functional: PBE
Structure: relaxed

SG ... No. 189
Calculated density ... 6.803 g/cm3
DFT formation energy ... -7.1 eV/f.u.
Density of states at the Fermi level ... 12.544 states/eV per cell

Unit cell a=5.308 b=10.773 c=10.773 alpha=120.00 beta=90.00 gamma=90.00
Last column: magnetic moment on the atom in μB.
Fractional positions:
Nd1 0.000 0.187 0.729  -0.01
Nd2 0.000 0.458 0.271  -0.01
Nd3 0.000 0.542 0.813  -0.01
Nd4 0.500 0.575 0.575  -0.01
Nd5 0.500 0.425 0.000  -0.01
Nd6 0.500 0.000 0.793  -0.03
Nd7 0.000 0.271 0.458  -0.01
Nd8 0.000 0.813 0.542  -0.01
Nd9 0.500 0.000 0.425  -0.01
Nd10 0.500 0.793 0.000  -0.03
Nd11 0.000 0.729 0.187  -0.01
Nd12 0.500 0.207 0.207  -0.03
C1 0.500 0.287 0.483  0.00
C2 0.500 0.517 0.805  0.00
C3 0.500 0.713 0.195  0.00
C4 0.000 0.808 0.000  -0.03
C5 0.500 0.483 0.287  0.00
C6 0.000 0.000 0.322  -0.02
C7 0.000 0.322 0.000  -0.02
C8 0.000 0.000 0.448  -0.01
C9 0.000 0.192 0.192  -0.03
C10 0.000 0.000 0.808  -0.03
C11 0.500 0.195 0.713  0.00
C12 0.500 0.805 0.517  0.00
C13 0.000 0.552 0.552  -0.01
C14 0.000 0.448 0.000  -0.01
C15 0.000 0.678 0.678  -0.02
Mn1 0.000 0.845 0.845  0.48
Mn2 0.000 0.000 0.155  0.48
Mn3 0.500 0.333 0.667  0.06
Mn4 0.500 0.667 0.333  0.06
Mn5 0.000 0.155 0.000  0.48

---

Record 8
Compound: Na9Tl2Cd
Source: Alexandria via LeMat-Bulk
Functional: PBE
Structure: relaxed

SG ... No. 2
Calculated density ... 3.065 g/cm3
DFT formation energy ... -0.2 eV/f.u.
Density of states at the Fermi level ... 5.366 states/eV per cell

Unit cell a=6.240 b=8.787 c=8.146 alpha=73.52 beta=68.73 gamma=76.22
Fractional positions:
Na1 0.623 0.126 0.788
Na2 0.493 0.295 0.156
Na3 0.989 0.612 0.167
Na4 0.939 0.188 0.330
Na5 0.500 0.500 0.500
Na6 0.061 0.812 0.670
Na7 0.011 0.388 0.833
Na8 0.377 0.874 0.212
Na9 0.507 0.705 0.844
Tl1 0.277 0.134 0.580
Tl2 0.723 0.866 0.420
Cd1 0.000 0.000 0.000

---

Record 9
Compound: AlCu3B
Source: Alexandria via LeMat-Bulk
Functional: PBE
Structure: relaxed

SG ... No. 221
Calculated density ... 6.092 g/cm3
DFT formation energy ... 1.0 eV/f.u.
Density of states at the Fermi level ... 1.863 states/eV per cell
Offset from the most stable computed form ... 0.000 eV/atom

Unit cell a=3.963 b=3.963 c=3.963 alpha=90.00 beta=90.00 gamma=90.00
Fractional positions:
Al1 0.500 0.500 0.500
Cu1 0.000 0.000 0.500
Cu2 0.500 0.000 0.000
Cu3 0.000 0.500 0.000
B1 0.000 0.000 0.000

---

Record 10
Compound: LaTaTe2
Source: Alexandria via LeMat-Bulk
Functional: PBE
Structure: relaxed

SG ... No. 99
Calculated density ... 8.098 g/cm3
Density of states at the Fermi level ... 2.972 states/eV per cell
Raw formation energy ... -0.281 eV/atom
Offset from the most stable computed form ... 0.255 eV/atom

Unit cell a=3.607 b=3.607 c=9.062 alpha=90.00 beta=90.00 gamma=90.01
Fractional positions:
Te1 0.500 0.500 0.277
Te2 0.000 0.000 0.917
La1 0.000 0.000 0.524
Ta1 0.500 0.500 0.782

---

Record 11
Compound: GeAs2BrCl
Source: Alexandria via LeMat-Bulk
Functional: PBE
Structure: relaxed

SG ... No. 123
Calculated density ... 3.979 g/cm3
Density of states at the Fermi level ... 3.587 states/eV per cell
Raw formation energy ... 0.861 eV/atom
Offset from the most stable computed form ... 0.306 eV/atom

Unit cell a=4.721 b=4.721 c=6.327 alpha=90.00 beta=90.00 gamma=90.00
Fractional positions:
As1 0.000 0.500 0.000
As2 0.500 0.000 0.000
Ge1 0.500 0.500 0.500
Br1 0.000 0.000 0.500
Cl1 0.000 0.000 0.000

---

Record 12
Compound: HoZr2Rh
Source: Alexandria via LeMat-Bulk
Functional: PBE
Structure: relaxed

SG ... No. 63
Calculated density ... 8.185 g/cm3
DFT formation energy ... -1.6 eV/f.u.
Density of states at the Fermi level ... 9.043 states/eV per cell
Offset from the most stable computed form ... 0.000 eV/atom

Unit cell a=4.428 b=5.975 c=7.433 alpha=90.00 beta=90.00 gamma=111.72
Fractional positions:
Zr1 0.356 0.712 0.543
Zr2 0.644 0.288 0.043
Zr3 0.644 0.288 0.457
Zr4 0.356 0.712 0.957
Ho1 0.946 0.892 0.250
Ho2 0.054 0.108 0.750
Rh1 0.215 0.429 0.250
Rh2 0.785 0.571 0.750